Na2Cu2W3 | PBE | relaxed

Values from the calculation:
- calculated total energy (eV/atom) = -6.25
- SG = R3m, No. 160

Structure (POSCAR):
```
Na2Cu2W3
1.0
-6.1802 3.0503 3.0503
-3.0503 3.0503 6.1802
-3.0503 6.1802 3.0503
W Cu Na
3 2 2
Cartesian
-4.0445 4.0445 4.0445
-7.6658 7.6658 7.6658
-11.3771 11.3771 11.3771
-0.5269 0.5269 0.5269
-6.1720 6.1720 6.1720
-2.2267 2.2267 2.2267
-9.4350 9.4350 9.4350
```

***

InMo4AsN2 | PBE | relaxed

Values from the calculation:
- calculated total energy (eV/atom) = -8.41
- SG = P-6m2, No. 187

Structure (POSCAR):
```
InMo4AsN2
1.0
-0.8524 2.1839 1.9246
-1.7712 -0.7235 -2.3536
-6.4744 -9.3551 7.7481
Mo N In As
4 2 1 1
Cartesian
-6.7036 -6.7972 7.1342
-4.3596 -6.2993 5.2172
-2.0882 -0.1283 1.6109
-2.1148 -3.0558 2.5309
-2.9994 -1.9715 0.9087
-6.4049 -6.8923 4.9842
-4.3959 -3.4628 4.3725
0.0000 0.0000 0.0000
```

***

DyTaN2O | PBE | relaxed

Values from the calculation:
- calculated total energy (eV/atom) = -9.37
- SG = Pmma, No. 51

Structure (POSCAR):
```
DyTaN2O
1.0
5.6524 0.0000 0.0000
0.0000 3.9029 0.0000
0.0000 0.0000 5.8449
N Ta Dy O
4 2 2 2
Cartesian
0.0000 1.9515 2.9225
2.8262 1.9515 2.9225
4.2393 0.0000 4.7359
1.4131 0.0000 1.1090
1.4131 1.9515 1.5999
4.2393 1.9515 4.2450
4.2393 0.0000 1.1313
1.4131 0.0000 4.7136
0.0000 1.9515 0.0000
2.8262 1.9515 0.0000
```

***

NaZrAgTe3 | PBE | relaxed

Values from the calculation:
- offset from the most stable computed form (meV per atom) = 41
- SG = Cmcm, No. 63

Structure (POSCAR):
```
NaZrAgTe3
1.0
-3.6541 -9.9914 3.1227
-3.7297 3.1989 5.8708
-6.3850 3.1977 2.7598
Te Ag Na Zr
6 2 2 2
Cartesian
-11.0492 0.8365 9.4304
-0.8926 0.5645 0.7616
-4.3991 0.2277 3.7547
-9.0600 -2.9758 7.7341
-7.5427 1.1732 6.4374
-6.5358 -5.6147 5.5807
-7.2809 -1.5466 6.2150
-4.6608 2.9476 3.9770
-4.1631 -3.5184 3.5547
-7.7787 4.9193 6.6374
-2.7406 -7.4936 2.3421
-0.9135 -2.4979 0.7807
```

***

Number 2 is which compound?
InMo4AsN2